TaReNi2: optimized geometry, PBE.

**Relative energy among the computed polymorphs**: 55 meV per atom
**Crystal system**: monoclinic
**VASP energy**: -9.061 eV/atom

a b c (Å): 4.6288 4.6288 2.6863
angles (deg): 90.14 90.14 109.20
Last column: nearest neighbours and their distance in Å.
Atoms (fractional coordinates):
1 Ta 0.0000 0.0000 0.0000  8 Ni 2.67-2.68, 2 Re 2.68, 2 Ta 2.69
2 Re 0.5000 0.5000 0.0000  8 Ni 2.67-2.68, 2 Ta 2.68, 2 Re 2.69
3 Ni 0.0000 0.5000 0.5000  4 Ta 2.67-2.68, 4 Re 2.67-2.68, 4 Ni 2.68-2.69
4 Ni 0.5000 0.0000 0.5000  4 Ta 2.67-2.68, 4 Re 2.67-2.68, 4 Ni 2.68-2.69